(1)
PBE Tl8VSe6, optimized geometry; total moment = 2.0 Bohr magnetons per cell; space-group type = No. 31; formation energy without anion corrections = -386 meV/atom; DFT total energy = -0.134 hartree per atom
1.0
-5.3533 -10.1513 0.8393
4.7173 -3.0325 -6.5895
7.3375 -3.3092 6.7757
Tl V Se
16 2 12
direct
0.3657 0.0000 0.9348
0.5897 0.7757 0.1956
0.0786 0.7373 0.0312
0.2150 0.7362 0.3814
0.2150 0.2638 0.3814
0.6343 0.5000 0.4348
0.8104 0.5000 0.1621
0.0786 0.2627 0.0312
0.4103 0.7243 0.6956
0.9214 0.7627 0.5312
0.4103 0.2757 0.6956
0.9214 0.2373 0.5312
0.1896 0.0000 0.6621
0.7850 0.2362 0.8814
0.5897 0.2243 0.1956
0.7850 0.7638 0.8814
0.3465 0.5000 0.9965
0.6535 0.0000 0.4965
0.6694 0.2277 0.6211
0.3306 0.7277 0.1211
0.6179 0.0000 0.9807
0.5261 0.5000 0.8967
0.3306 0.2723 0.1211
0.6694 0.7723 0.6211
0.3821 0.5000 0.4807
0.0429 0.5000 0.2547
0.8083 0.0000 0.3518
0.1917 0.5000 0.8518
0.9571 0.0000 0.7547
0.4739 0.0000 0.3967


(2)
PBE FeSbSeBr2, optimized geometry; total moment = 0.0 Bohr magnetons per cell; space-group type = No. 123; ΔE to the lowest computed polymorph = 0 meV/atom; formation energy without anion corrections = 270 meV/atom; DFT total energy = -0.133 hartree per atom
1.0
-0.8695 4.3031 -2.0059
-2.3392 -2.1628 -3.6258
-4.1204 0.3181 2.4685
Sb Fe Br Se
1 1 2 1
direct
0.5000 0.5000 0.5000
0.0000 0.0000 0.0000
0.5000 0.0000 0.0000
0.0000 0.5000 0.0000
0.0000 0.0000 0.5000